1.
# InTcSnTe2 PBE-GGA optimized geometry
data_InTcSnTe2
_chemical_formula_sum 'In1 Tc1 Sn1 Te2'
_cell_length_a 5.3381
_cell_length_b 5.3381
_cell_length_c 5.1954
_cell_angle_alpha 90.00
_cell_angle_beta 90.00
_cell_angle_gamma 90.00
_symmetry_space_group_name_H-M 'P 4/m m m'
_symmetry_Int_Tables_number 123
_symmetry_space_group_name_Hall '-P 4 2'
loop_
_atom_site_label
_atom_site_fract_x
_atom_site_fract_y
_atom_site_fract_z
In1 0.0000 0.0000 0.0000
Tc1 0.5000 0.5000 0.5000
Sn1 0.5000 0.5000 0.0000
Te1 0.0000 0.5000 0.5000
# Crystal system: tetragonal
# N(E_F) in states/eV per cell: 6.25
# Uncorrected formation energy in eV/f.u.: 1.581
# Electronic total energy in eV per atom: -4.36

---

2.
# FePOs2 PBE-GGA optimized geometry
data_FePOs2
_chemical_formula_sum 'Fe1 P1 Os2'
_cell_length_a 2.7960
_cell_length_b 2.7960
_cell_length_c 6.4509
_cell_angle_alpha 90.00
_cell_angle_beta 90.00
_cell_angle_gamma 90.00
_symmetry_space_group_name_H-M 'P 4 m m'
_symmetry_Int_Tables_number 99
_symmetry_space_group_name_Hall 'P 4 -2'
loop_
_atom_site_label
_atom_site_fract_x
_atom_site_fract_y
_atom_site_fract_z
Fe1 0.0000 0.0000 0.0000
P1 0.5000 0.5000 0.8293
Os1 0.0000 0.0000 0.5735
Os2 0.5000 0.5000 0.2950
# Crystal system: tetragonal
# N(E_F) in states/eV per cell: 1.97
# Electronic total energy in eV per atom: -9.09
# Formation energy in eV per atom: -0.0044

---

3.
# NdErSb2O8 PBE-GGA optimized geometry
data_NdErSb2O8
_chemical_formula_sum 'Nd2 Er2 Sb4 O16'
_cell_length_a 5.3096
_cell_length_b 5.3096
_cell_length_c 11.3577
_cell_angle_alpha 90.00
_cell_angle_beta 90.00
_cell_angle_gamma 90.00
_symmetry_space_group_name_H-M 'I -4'
_symmetry_Int_Tables_number 82
_symmetry_space_group_name_Hall 'I -4'
loop_
_atom_site_label
_atom_site_fract_x
_atom_site_fract_y
_atom_site_fract_z
Nd1 0.0000 0.0000 0.0000
Er1 0.0000 0.5000 0.7500
Sb1 0.0000 0.0000 0.5000
Sb2 0.0000 0.5000 0.2500
O1 0.1718 0.2535 0.5906
O2 0.1853 0.7518 0.1643
# Crystal system: tetragonal
# N(E_F) in states/eV per cell: 0.00
# Uncorrected formation energy in eV/f.u.: -27.792
# Electronic total energy in eV per atom: -7.09

---

4.
# SrAcAlZn PBE-GGA optimized geometry
data_SrAcAlZn
_chemical_formula_sum 'Sr3 Ac3 Al3 Zn3'
_cell_length_a 4.4099
_cell_length_b 4.4099
_cell_length_c 24.8536
_cell_angle_alpha 90.00
_cell_angle_beta 90.00
_cell_angle_gamma 120.00
_symmetry_space_group_name_H-M 'R 3 m'
_symmetry_Int_Tables_number 160
_symmetry_space_group_name_Hall 'R 3 -2"'
loop_
_atom_site_label
_atom_site_fract_x
_atom_site_fract_y
_atom_site_fract_z
Sr1 0.0000 0.0000 0.0000
Ac1 0.0000 0.0000 0.1816
Al1 0.0000 0.0000 0.7599
Zn1 0.0000 0.0000 0.4253
# Crystal system: trigonal
# N(E_F) in states/eV per cell: 14.72
# Energy relative to the lowest polymorph listed for this composition in eV/atom: 0.028
# Electronic total energy in eV per atom: -2.87
# Formation energy in eV per atom: -0.1686

---

5.
# Nb2BiBrO PBE-GGA optimized geometry
data_Nb2BiBrO
_chemical_formula_sum 'Nb2 Bi1 Br1 O1'
_cell_length_a 4.2279
_cell_length_b 4.2279
_cell_length_c 5.8856
_cell_angle_alpha 90.00
_cell_angle_beta 90.00
_cell_angle_gamma 90.00
_symmetry_space_group_name_H-M 'P 4/m m m'
_symmetry_Int_Tables_number 123
_symmetry_space_group_name_Hall '-P 4 2'
loop_
_atom_site_label
_atom_site_fract_x
_atom_site_fract_y
_atom_site_fract_z
Nb1 0.0000 0.5000 0.0000
Bi1 0.0000 0.0000 0.5000
Br1 0.5000 0.5000 0.5000
O1 0.5000 0.5000 0.0000
# Crystal system: tetragonal
# N(E_F) in states/eV per cell: 5.07
# Uncorrected formation energy in eV/f.u.: -0.300
# Electronic total energy in eV per atom: -6.19

---

6.
# SmTh2AgRh5 PBE-GGA optimized geometry
data_SmTh2AgRh5
_chemical_formula_sum 'Sm4 Th8 Ag4 Rh20'
_cell_length_a 8.3224
_cell_length_b 8.3224
_cell_length_c 11.2294
_cell_angle_alpha 90.00
_cell_angle_beta 90.00
_cell_angle_gamma 90.00
_symmetry_space_group_name_H-M 'I 4/m c m'
_symmetry_Int_Tables_number 140
_symmetry_space_group_name_Hall '-I 4 2c'
loop_
_atom_site_label
_atom_site_fract_x
_atom_site_fract_y
_atom_site_fract_z
Sm1 0.0000 0.0000 0.2500
Th1 0.1395 0.3605 0.0000
Ag1 0.0000 0.5000 0.2500
Rh1 0.0000 0.0000 0.0000
Rh2 0.1919 0.3081 0.3652
# Crystal system: tetragonal
# N(E_F) in states/eV per cell: 35.82
# Electronic total energy in eV per atom: -6.87
# Formation energy in eV per atom: -0.3006

---

7.
# La12Tb3Tl PBE-GGA optimized geometry
data_La12Tb3Tl
_chemical_formula_sum 'La12 Tb3 Tl1'
_cell_length_a 5.1643
_cell_length_b 5.1643
_cell_length_c 20.8692
_cell_angle_alpha 90.00
_cell_angle_beta 90.00
_cell_angle_gamma 90.00
_symmetry_space_group_name_H-M 'P 4/m m m'
_symmetry_Int_Tables_number 123
_symmetry_space_group_name_Hall '-P 4 2'
loop_
_atom_site_label
_atom_site_fract_x
_atom_site_fract_y
_atom_site_fract_z
La1 0.0000 0.0000 0.0000
La2 0.0000 0.0000 0.2494
La3 0.0000 0.0000 0.5000
La4 0.0000 0.5000 0.1222
La5 0.0000 0.5000 0.3742
Tb1 0.5000 0.5000 0.2485
Tb2 0.5000 0.5000 0.5000
Tl1 0.5000 0.5000 0.0000
# Crystal system: tetragonal
# N(E_F) in states/eV per cell: 22.15
# Electronic total energy in eV per atom: -4.76
# Formation energy in eV per atom: -0.0451

---

8.
# Na8B13C3 PBE-GGA optimized geometry
data_Na8B13C3
_chemical_formula_sum 'Na8 B13 C3'
_cell_length_a 2.8005
_cell_length_b 8.6801
_cell_length_c 10.6500
_cell_angle_alpha 90.00
_cell_angle_beta 90.00
_cell_angle_gamma 90.00
_symmetry_space_group_name_H-M 'P m m 2'
_symmetry_Int_Tables_number 25
_symmetry_space_group_name_Hall 'P 2 -2'
loop_
_atom_site_label
_atom_site_fract_x
_atom_site_fract_y
_atom_site_fract_z
Na1 0.0000 0.2460 0.0000
Na2 0.0000 0.2524 0.4942
Na3 0.5000 0.2488 0.7471
Na4 0.5000 0.2495 0.2481
B1 0.0000 0.0000 0.1798
B2 0.0000 0.0000 0.3413
B3 0.0000 0.0000 0.6625
B4 0.0000 0.0000 0.8218
B5 0.0000 0.5000 0.1664
B6 0.0000 0.5000 0.6707
B7 0.0000 0.5000 0.8345
B8 0.5000 0.0000 0.0791
B9 0.5000 0.0000 0.5619
B10 0.5000 0.0000 0.9198
B11 0.5000 0.5000 0.3960
B12 0.5000 0.5000 0.5624
B13 0.5000 0.5000 0.9415
C1 0.0000 0.5000 0.3192
C2 0.5000 0.0000 0.4159
C3 0.5000 0.5000 0.0882
# Crystal system: orthorhombic
# N(E_F) in states/eV per cell: 5.73
# Energy relative to the lowest polymorph listed for this composition in eV/atom: 0.004
# Electronic total energy in eV per atom: -5.02
# Formation energy in eV per atom: 0.1863

---

9.
# Mn2CoMo PBE-GGA optimized geometry
data_Mn2CoMo
_chemical_formula_sum 'Mn2 Co1 Mo1'
_cell_length_a 2.5923
_cell_length_b 4.0881
_cell_length_c 4.9036
_cell_angle_alpha 90.00
_cell_angle_beta 102.35
_cell_angle_gamma 90.00
_symmetry_space_group_name_H-M 'P 1 m 1'
_symmetry_Int_Tables_number 6
_symmetry_space_group_name_Hall 'P -2y'
loop_
_atom_site_label
_atom_site_fract_x
_atom_site_fract_y
_atom_site_fract_z
Mn1 0.0000 0.0000 0.0000
Mn2 0.2803 0.5000 0.7563
Co1 0.5058 0.0000 0.5224
Mo1 0.7711 0.5000 0.2576
# Crystal system: monoclinic
# N(E_F) in states/eV per cell: 4.41
# Electronic total energy in eV per atom: -8.92
# Formation energy in eV per atom: 0.1471